Entry 1:
Computed, not measured: crystalline TmIn4 at its relaxed geometry at the GGA-PBE level of DFT.

The value obtained for the polymorph energy (0 for the lowest one) is 0.0000 eV per atom. For the density of states at the Fermi level, the calculation gives 5.4 states/eV per cell. The calculation puts the formation energy from the elements at 0.10 eV per atom. The crystal system is tetragonal. The electronic total energy is -2.983 eV per atom. Its total moment is 0.0 μB/f.u.

The space group is I4/mmm (No. 139) and the conventional cell measures 5.5298, 5.5298 and 9.4499 Å, with angles of 90.00, 90.00 and 90.00 degrees. Symmetry generates all atoms from Tm at (0.0000, 0.0000, 0.0000), In at (0.0000, 0.0000, 0.3536) and In at (0.0000, 0.5000, 0.2500).

***

Entry 2:
Computed, not measured: crystalline Sn5GeTe6 at its relaxed geometry at the GGA-PBE level of DFT.

For the density of states at the Fermi level, the calculation gives 0.4 states/eV per cell. The crystal system is monoclinic. The electronic total energy is -3.869 eV per atom. Its total moment is 0.0 μB/f.u.

The space group is C2/m (No. 12) and the conventional cell measures 7.7638, 13.4509 and 7.7612 Å, with angles of 90.00, 109.50 and 90.00 degrees. Symmetry generates all atoms from Sn at (0.0000, 0.0000, 0.0000), Sn at (0.0000, 0.1665, 0.5000), Sn at (0.0000, 0.3311, 0.0000), Ge at (0.0000, 0.5000, 0.5000), Te at (0.2402, 0.5000, 0.2533) and Te at (0.2419, 0.3388, 0.7423).

***

Question: Look up the total moment of the second one.
Answer: 0.0 μB/f.u.